The following is a DFT calculation (PBE) of crystalline Ba2TeP2 at its relaxed geometry.

Lattice parameters (Å, degrees): 4.0710 4.0710 18.6851 90.00 90.00 90.00
Space group I4/mmm (No. 139)
Asymmetric unit:
Ba1 0.0000 0.0000 0.1112 [4 per cell]
Te1 0.0000 0.0000 0.5000 [2 per cell]
P1 0.0000 0.5000 0.2500 [4 per cell]

Output
M_tot in Bohr magnetons per cell: 0.000
Formation energy without anion corrections in kJ/mol of formula units: -408
Offset from the most stable computed form in eV/atom: 0.0000
Volume in Å³/atom: 30.97